A relaxed structure of CdSi2W. Source: Alexandria, functional PBE-GGA.

Calculated values
Formation energy from raw total energies   0.4735 eV per atom
Symmetry   No. 35

Cell lengths 2.819, 2.819, 8.569 Å; angles 90.00, 90.00, 103.87 degrees
Element x y z (fractional)
Cd  0.500  0.500  0.748
Si  0.000  0.000  0.031
Si  0.500  0.500  0.252
W  0.000  0.000  0.469

A relaxed structure of Zn6Cu3Rh. Source: Alexandria, functional PBE-GGA.

Calculated values
Offset from the most stable computed form   0.0 meV/atom
E_form   -153 meV per atom
Symmetry   No. 11

Cell lengths 3.933, 8.077, 8.553 Å; angles 94.22, 90.00, 90.00 degrees
Element x y z (fractional)
Zn  0.250  0.463  0.101
Zn  0.750  0.537  0.899
Zn  0.250  0.159  0.204
Zn  0.750  0.841  0.796
Zn  0.250  0.628  0.697
Zn  0.750  0.372  0.303
Zn  0.250  0.248  0.511
Zn  0.750  0.752  0.489
Zn  0.250  0.854  0.299
Zn  0.750  0.146  0.701
Zn  0.250  0.054  0.903
Zn  0.750  0.946  0.097
Cu  0.250  0.557  0.403
Cu  0.750  0.443  0.597
Cu  0.250  0.344  0.808
Cu  0.750  0.656  0.192
Cu  0.250  0.751  0.989
Cu  0.750  0.249  0.011
Rh  0.250  0.932  0.610
Rh  0.750  0.068  0.390